First-principles (PBE) data for a geometry-optimized LiZrTeI2 structure, as listed in Alexandria.

Cell lengths 5.118, 5.118, 5.518 Å; angles 90.00, 90.00, 90.00 degrees
Space group P4/mmm (No. 123)
Symmetry-distinct sites (fractional):
1 Li 0.000 0.000 0.000 x1
2 Zr 0.500 0.500 0.500 x1
3 Te 0.000 0.000 0.500 x1
4 I 0.000 0.500 0.000 x2

**Uncorrected formation energy**: 6.19 kJ/mol of atoms
**V**: 28.91 Å³ per atom
**Density of states at the Fermi level**: 5.67 states/eV/cell
**Magnetization**: 1.0 Bohr magnetons per cell
**ρ**: 5.5 g/cm3
**Total energy**: -3.277 eV per atom